No. 1
# Li2PmSm2Ge2

An optimized crystal structure of Li2PmSm2Ge2 (PBE, the Alexandria database).

Computed properties:
The crystal system is trigonal. Its magnetization is 0.00 μB/atom. The calculation puts the energy of formation from the pure elements at -0.49 eV per atom. As for the space group: R-3m.

abc: 4.513 4.513 9.631
angles: 76.45 76.45 60.00
Element x y z (fractional)
Li 0.601 0.601 0.198
Li 0.399 0.399 0.802
Pm 0.000 0.000 0.000
Sm 0.127 0.127 0.620
Sm 0.873 0.873 0.380
Ge 0.736 0.736 0.793
Ge 0.264 0.264 0.207

No. 2
# Li2Pm2SmGe2

An optimized crystal structure of Li2Pm2SmGe2 (PBE, the Alexandria database).

Computed properties:
The crystal system is trigonal. Its magnetization is 0.00 μB/atom. The calculation puts the energy of formation from the pure elements at -0.49 eV per atom. As for the space group: R-3m.

abc: 4.502 4.502 9.734
angles: 76.63 76.63 60.00
Element x y z (fractional)
Li 0.604 0.604 0.189
Li 0.396 0.396 0.811
Pm 0.126 0.126 0.623
Pm 0.874 0.874 0.377
Sm 0.000 0.000 0.000
Ge 0.734 0.734 0.799
Ge 0.266 0.266 0.201

No. 3
# SrLi2Pm2Ge2

An optimized crystal structure of SrLi2Pm2Ge2 (PBE, the Alexandria database).

Computed properties:
The crystal system is trigonal. Its magnetization is 0.00 μB/atom. The calculation puts the energy of formation from the pure elements at -0.48 eV per atom. As for the space group: R-3m.

abc: 4.666 4.666 9.820
angles: 76.26 76.26 60.00
Element x y z (fractional)
Sr 0.000 0.000 0.000
Li 0.589 0.589 0.232
Li 0.411 0.411 0.768
Pm 0.129 0.129 0.612
Pm 0.871 0.871 0.388
Ge 0.747 0.747 0.759
Ge 0.253 0.253 0.241